# 1
The following is a DFT calculation (PBE-GGA) of crystalline Ca2ZrRe at its relaxed geometry.

Lattice parameters (Å, degrees): 4.165 4.165 10.550 90.00 90.00 90.00
Space group I4/mmm (No. 139)
Asymmetric unit:
Ca  0.000  0.500  0.250 (multiplicity 4)
Zr  0.000  0.000  0.000 (multiplicity 2)
Re  0.000  0.000  0.500 (multiplicity 2)

Raw total energy (eV/f.u.): -22.66
Density of states at the Fermi level (states/eV per cell): 6.67
Density (Mg/m³): 6.488

# 2
The following is a DFT calculation (PBE-GGA) of crystalline Ca3Rh at its relaxed geometry.

Lattice parameters (Å, degrees): 3.878 6.959 9.525 90.00 90.00 90.00
Space group Pmmn (No. 59, origin choice 2)
Asymmetric unit:
Ca  0.250  0.011  0.176 (multiplicity 4)
Ca  0.250  0.250  0.526 (multiplicity 2)
Rh  0.250  0.750  0.693 (multiplicity 2)

Raw total energy (eV/f.u.): -14.15
Density of states at the Fermi level (states/eV per cell): 5.36
Density (Mg/m³): 2.883

# 3
The following is a DFT calculation (PBE-GGA) of crystalline CaRh3 at its relaxed geometry.

Lattice parameters (Å, degrees): 3.280 3.280 6.453 90.00 90.00 90.00
Space group P4/mmm (No. 123)
Asymmetric unit:
Ca  0.000  0.000  0.000 (multiplicity 1)
Rh  0.000  0.000  0.500 (multiplicity 1)
Rh  0.500  0.500  0.293 (multiplicity 2)

Raw total energy (eV/f.u.): -23.81
Density of states at the Fermi level (states/eV per cell): 6.87
Density (Mg/m³): 8.340